1.
BaSc2Cl (PBE-GGA, relaxed); electronic total energy = -18.2 eV/cell; ΔE to the lowest computed polymorph = 54 meV/atom
1.0
3.501 0.000 0.000
0.000 3.501 0.000
0.000 0.000 9.471
Ba Sc Cl
1 2 1
direct
0.000 0.000 0.000
0.000 0.000 0.460
0.500 0.500 0.675
0.500 0.500 0.247

=====

2.
Cs4NaHg12Pt3 (PBE-GGA, relaxed); formation energy from the elements = -240 meV/atom; electronic total energy = -31.3 eV/cell
1.0
-5.571 5.571 5.571
5.571 -5.571 5.571
5.571 5.571 -5.571
Cs Na Hg Pt
4 1 12 3
direct
0.000 0.000 0.500
0.000 0.500 0.000
0.500 0.000 0.000
0.500 0.500 0.500
0.000 0.000 0.000
0.000 0.259 0.259
0.000 0.741 0.741
0.250 0.500 0.750
0.250 0.750 0.500
0.259 0.000 0.259
0.259 0.259 0.000
0.500 0.250 0.750
0.500 0.750 0.250
0.741 0.000 0.741
0.741 0.741 0.000
0.750 0.250 0.500
0.750 0.500 0.250
0.000 0.500 0.500
0.500 0.000 0.500
0.500 0.500 0.000

=====

3.
MnBiAu2 (PBE-GGA, relaxed); formation energy from the elements = 8 meV/atom; electronic total energy = -19.6 eV/cell
1.0
3.278 0.000 0.000
0.000 3.278 0.000
0.000 0.000 7.668
Mn Bi Au
1 1 2
direct
0.000 0.000 0.000
0.000 0.000 0.500
0.500 0.500 0.201
0.500 0.500 0.799

=====

4.
Pt2AuBr (PBE-GGA, relaxed); electronic total energy = -15.2 eV/cell; ΔE to the lowest computed polymorph = 191 meV/atom
1.0
1.461 -2.579 0.000
1.461 2.579 0.000
0.000 0.000 9.475
Pt Au Br
2 1 1
direct
0.000 0.000 0.248
0.000 0.000 0.752
0.500 0.500 0.000
0.500 0.500 0.500

=====

5.
LiCdCoTc2 (PBE-GGA, relaxed); formation energy from the elements = 2064 meV/atom; electronic total energy = -20.3 eV/cell
1.0
5.099 0.000 0.000
0.000 5.099 0.000
0.000 0.000 4.732
Li Cd Co Tc
1 1 1 2
direct
0.000 0.000 0.000
0.500 0.500 0.500
0.500 0.500 0.000
0.000 0.500 0.500
0.500 0.000 0.500

=====

6.
LaCu2P (PBE-GGA, relaxed); formation energy from the elements = -177 meV/atom; electronic total energy = -19.2 eV/cell
1.0
2.194 -2.713 0.000
2.194 2.713 0.000
0.000 0.000 6.414
La Cu P
1 2 1
direct
0.000 0.000 0.000
0.000 0.000 0.468
0.500 0.500 0.647
0.500 0.500 0.286

=====

7.
NpZnAu (PBE-GGA, relaxed); formation energy from the elements = -170 meV/atom; electronic total energy = -18.0 eV/cell
1.0
4.814 0.000 0.000
-2.407 4.169 0.000
0.000 0.000 2.938
Np Zn Au
1 1 1
direct
0.000 0.000 0.000
0.667 0.333 0.500
0.333 0.667 0.500

=====

8.
YIrW2 (PBE-GGA, relaxed); formation energy from the elements = 189 meV/atom; electronic total energy = -40.5 eV/cell; ΔE to the lowest computed polymorph = 116 meV/atom
1.0
3.260 0.000 0.000
0.000 4.484 0.000
0.000 0.000 4.892
Y Ir W
1 1 2
direct
0.000 0.000 0.000
0.500 0.500 0.000
0.000 0.500 0.500
0.500 0.000 0.500

=====

9.
Tb3ErTc (PBE-GGA, relaxed); formation energy from the elements = -61 meV/atom; electronic total energy = -58.2 eV/cell
1.0
6.029 -1.953 0.000
6.029 1.953 0.000
-4.881 0.000 11.836
Tb Er Tc
6 2 2
direct
0.000 0.000 0.000
0.024 0.024 0.375
0.330 0.330 0.763
0.356 0.356 0.135
0.684 0.684 0.237
0.800 0.800 0.519
0.553 0.553 0.620
0.671 0.671 0.899
0.358 0.358 0.375
0.998 0.998 0.765